Here is DyTl3Bi3Se8 after structural relaxation from Alexandria. Energies are from PBE-GGA.

a b c (Å): 8.500 8.493 8.932
angles (deg): 118.29 90.00 120.03
Element x y z (fractional)
Dy  0.000  0.000  0.500
Tl  0.000  0.000  0.000
Tl  0.000  0.500  0.000
Tl  0.500  0.500  0.000
Bi  0.500  0.000  0.500
Bi  0.500  0.500  0.500
Bi  0.000  0.500  0.500
Se  0.259  0.517  0.275
Se  0.741  0.483  0.725
Se  0.764  0.529  0.282
Se  0.236  0.471  0.718
Se  0.764  0.018  0.282
Se  0.236  0.982  0.718
Se  0.254  0.018  0.282
Se  0.746  0.982  0.718

The value obtained for the raw total energy is -4.06 eV/atom. The calculation puts the total moment at 0.000 μB/atom. Its uncorrected formation energy is -9.6 eV per formula unit.